A plane-wave DFT calculation with PBE was carried out for a geometry-optimized BaPPb3 structure.

Unit cell a=6.266 b=6.266 c=6.266 alpha=90.00 beta=90.00 gamma=90.00
Positions (direct):
Ba 0.000 0.000 0.000
P 0.500 0.500 0.500
Pb 0.000 0.000 0.500
Pb 0.000 0.500 0.000
Pb 0.500 0.000 0.000

calculated total energy	-2.314	eV/atom
D(E_F)	2.413	states/eV per atom
formation energy	1.378	eV per atom
SG	No. 221